No. 1
DFT (GGA-PBE) results for crystalline Ba3GaSb2O9 at its relaxed geometry.

a = 5.8689 Å, b = 5.8689 Å, c = 7.2010 Å
α = 90.00°, β = 90.00°, γ = 120.00°
Space group P-3m1 (No. 164)
Inequivalent atoms, fractional coordinates:
1 Ba 0.0000 0.0000 0.0000 x1
2 Ba 0.3333 0.6667 0.6625 x2
3 Ga 0.0000 0.0000 0.5000 x1
4 Sb 0.3333 0.6667 0.1756 x2
5 O 0.0000 0.5000 0.0000 x3
6 O 0.1661 0.3322 0.3336 x6

ΔE_f (raw), eV/atom: -2.1028
Calculated volume, Å³ per cell: 214.8
Crystal system: trigonal

=====

No. 2
DFT (GGA-PBE) results for crystalline ZrTlRh2 at its relaxed geometry.

a = 6.217 Å, b = 6.216 Å, c = 3.675 Å
α = 90.00°, β = 90.11°, γ = 90.00°
Space group C2/m (No. 12)
Inequivalent atoms, fractional coordinates:
1 Zr 0.000 0.000 0.000 x2
2 Tl 0.000 0.500 0.000 x2
3 Rh 0.250 0.250 0.500 x4

Calculated volume, Å³ per cell: 142.0
Crystal system: monoclinic
Formation energy from the elements, eV per atom: -0.422

=====

No. 3
DFT (GGA-PBE) results for crystalline NdEuGdIn at its relaxed geometry.

a = 7.903 Å, b = 7.903 Å, c = 7.903 Å
α = 90.00°, β = 90.00°, γ = 90.00°
Space group F-43m (No. 216)
Inequivalent atoms, fractional coordinates:
1 Nd 0.000 0.000 0.000 x4
2 Eu 0.250 0.250 0.750 x4
3 Gd 0.000 0.000 0.500 x4
4 In 0.250 0.250 0.250 x4

Calculated volume, Å³ per cell: 493.7
Crystal system: cubic
Formation energy from the elements, eV per atom: -0.157

=====

No. 4
DFT (GGA-PBE) results for crystalline Pr2PuCuSe5 at its relaxed geometry.

a = 4.118 Å, b = 17.881 Å, c = 12.179 Å
α = 90.00°, β = 90.00°, γ = 90.00°
Space group Cmc2_1 (No. 36)
Inequivalent atoms, fractional coordinates:
1 Pr 0.000 0.109 0.000 x4
2 Pr 0.000 0.121 0.624 x4
3 Pu 0.000 0.198 0.324 x4
4 Cu 0.000 0.436 0.768 x4
5 Se 0.000 0.045 0.373 x4
6 Se 0.000 0.290 0.988 x4
7 Se 0.000 0.314 0.660 x4
8 Se 0.000 0.360 0.316 x4
9 Se 0.000 0.499 0.093 x4

ΔE_f (raw), eV/atom: -1.4640
Calculated volume, Å³ per cell: 896.6
Crystal system: orthorhombic

=====

No. 5
DFT (GGA-PBE) results for crystalline Er2ScHg3 at its relaxed geometry.

a = 3.631 Å, b = 3.631 Å, c = 10.927 Å
α = 90.00°, β = 90.00°, γ = 90.00°
Space group P4/mmm (No. 123)
Inequivalent atoms, fractional coordinates:
1 Er 0.000 0.000 0.172 x2
2 Sc 0.000 0.000 0.500 x1
3 Hg 0.500 0.500 0.000 x1
4 Hg 0.500 0.500 0.346 x2

Calculated volume, Å³ per cell: 144.1
Crystal system: tetragonal
Formation energy from the elements, eV per atom: -0.458
Energy above the lowest structure with this stoichiometry, meV/atom: 0

=====

No. 6
DFT (GGA-PBE) results for crystalline Er2HBr3 at its relaxed geometry.

a = 17.907 Å, b = 3.772 Å, c = 11.256 Å
α = 90.00°, β = 122.54°, γ = 90.00°
Space group C2/m (No. 12)
Inequivalent atoms, fractional coordinates:
1 Er 0.073 0.000 0.463 x4
2 Er 0.138 0.500 0.794 x4
3 H 0.078 0.000 0.666 x4
4 Br 0.035 0.500 0.246 x4
5 Br 0.166 0.000 0.010 x4
6 Br 0.212 0.500 0.619 x4

Calculated volume, Å³ per cell: 640.9
Crystal system: monoclinic
Raw total energy, eV/cell: -102.2

=====

No. 7
DFT (GGA-PBE) results for crystalline HfMn3Ag at its relaxed geometry.

a = 4.776 Å, b = 4.776 Å, c = 4.776 Å
α = 90.00°, β = 90.00°, γ = 90.00°
Space group Pm-3m (No. 221)
Inequivalent atoms, fractional coordinates:
1 Hf 0.000 0.000 0.000 x1
2 Mn 0.000 0.500 0.500 x3
3 Ag 0.500 0.500 0.500 x1

Calculated volume, Å³ per cell: 108.9
Crystal system: cubic
Formation energy from the elements, eV per atom: 1.257
Energy above the lowest structure with this stoichiometry, meV/atom: 0

=====

No. 8
DFT (GGA-PBE) results for crystalline NaMnS at its relaxed geometry.

a = 4.237 Å, b = 4.237 Å, c = 6.289 Å
α = 90.00°, β = 90.00°, γ = 90.00°
Space group P4/nmm (No. 129, origin choice 2)
Inequivalent atoms, fractional coordinates:
1 Na 0.250 0.750 0.000 x2
2 Mn 0.250 0.750 0.500 x2
3 S 0.250 0.250 0.292 x2

ΔE_f (raw), eV/atom: -0.3727
Calculated volume, Å³ per cell: 112.9
Crystal system: tetragonal